(1)
Material: DyCuAgSn
Method: DFT, PBE
State: relaxed

Cell lengths 4.852, 4.852, 4.852 Å; angles 60.00, 60.00, 60.00 degrees
Sites, in units of the cell vectors:
Cu 0.500 0.500 0.500
Sn 0.250 0.250 0.250
Ag 0.000 0.000 0.000
Dy 0.750 0.750 0.750

Results
The calculation puts the raw total energy at -4.219 eV per atom. Its space group is F-43m (216). As for the energy of formation: -0.331 eV per atom.

(2)
Material: SrDyCuAg
Method: DFT, PBE
State: relaxed

Cell lengths 5.218, 5.218, 5.218 Å; angles 60.00, 60.00, 60.00 degrees
Sites, in units of the cell vectors:
Sr 0.250 0.250 0.250
Cu 0.500 0.500 0.500
Ag 0.000 0.000 0.000
Dy 0.750 0.750 0.750

Results
The calculation puts the raw total energy at -3.407 eV per atom. Its space group is F-43m (216). As for the energy of formation: -0.099 eV per atom.

(3)
Material: DyYCuAg
Method: DFT, PBE
State: relaxed

Cell lengths 5.047, 5.047, 5.047 Å; angles 60.00, 60.00, 60.00 degrees
Sites, in units of the cell vectors:
Y 0.750 0.750 0.750
Cu 0.000 0.000 0.000
Ag 0.500 0.500 0.500
Dy 0.250 0.250 0.250

Results
The offset from the most stable computed form comes out at 19 meV per atom. The calculation puts the raw total energy at -4.769 eV per atom. Its space group is F-43m (216). As for the energy of formation: -0.265 eV per atom.

(4)
Material: DyYCuAg
Method: DFT, PBE
State: relaxed

Cell lengths 3.551, 3.551, 7.155 Å; angles 90.00, 90.00, 90.00 degrees
Sites, in units of the cell vectors:
Dy 0.500 0.500 0.593
Y 0.500 0.500 0.120
Cu 0.000 0.000 0.361
Ag 0.000 0.000 0.853

Results
The offset from the most stable computed form comes out at 0 meV per atom. The calculation puts the raw total energy at -4.788 eV per atom. Its space group is P4mm (99). As for the energy of formation: -0.284 eV per atom.

(5)
Material: DyZn5Cu2Ag
Method: DFT, PBE
State: relaxed

Cell lengths 4.641, 4.641, 7.145 Å; angles 90.00, 90.00, 90.00 degrees
Sites, in units of the cell vectors:
Dy 0.000 0.000 0.500
Zn 0.000 0.500 0.226
Zn 0.500 0.000 0.226
Zn 0.000 0.500 0.774
Zn 0.500 0.000 0.774
Zn 0.500 0.500 0.500
Cu 0.500 0.500 0.163
Cu 0.500 0.500 0.837
Ag 0.000 0.000 0.000

Results
The calculation puts the raw total energy at -2.469 eV per atom. Its space group is P4/mmm (123). As for the energy of formation: -0.023 eV per atom.

(6)
Material: DyZn3CuAg
Method: DFT, PBE
State: relaxed

Cell lengths 5.585, 5.961, 7.231 Å; angles 114.34, 90.00, 90.00 degrees
Sites, in units of the cell vectors:
Dy 0.750 0.309 0.619
Dy 0.250 0.691 0.381
Zn 0.250 0.143 0.285
Zn 0.000 0.292 0.000
Zn 0.500 0.708 0.000
Zn 0.500 0.292 0.000
Zn 0.000 0.708 0.000
Zn 0.750 0.857 0.715
Cu 0.250 0.353 0.707
Cu 0.750 0.647 0.293
Ag 0.250 0.900 0.800
Ag 0.750 0.100 0.200

Results
The calculation puts the raw total energy at -2.612 eV per atom. Its space group is Cmcm (63). As for the energy of formation: -0.050 eV per atom.

(7)
Material: Dy2Zn12Cu3Ag
Method: DFT, PBE
State: relaxed

Cell lengths 6.750, 6.750, 6.750 Å; angles 85.84, 85.84, 85.84 degrees
Sites, in units of the cell vectors:
Dy 0.751 0.751 0.751
Dy 0.249 0.249 0.249
Zn 0.429 0.429 0.845
Zn 0.801 0.801 0.288
Zn 0.288 0.801 0.801
Zn 0.845 0.429 0.429
Zn 0.801 0.288 0.801
Zn 0.429 0.845 0.429
Zn 0.571 0.571 0.155
Zn 0.199 0.199 0.712
Zn 0.712 0.199 0.199
Zn 0.155 0.571 0.571
Zn 0.199 0.712 0.199
Zn 0.571 0.155 0.571
Cu 0.500 0.000 0.000
Cu 0.000 0.500 0.000
Cu 0.000 0.000 0.500
Ag 0.000 0.000 0.000

Results
The calculation puts the raw total energy at -2.221 eV per atom. Its space group is R-3m (166). As for the energy of formation: -0.019 eV per atom.

(8)
Material: DyZnCuAg
Method: DFT, PBE
State: relaxed

Cell lengths 4.698, 4.698, 4.698 Å; angles 60.00, 60.00, 60.00 degrees
Sites, in units of the cell vectors:
Zn 0.000 0.000 0.000
Cu 0.500 0.500 0.500
Ag 0.250 0.250 0.250
Dy 0.750 0.750 0.750

Results
The calculation puts the raw total energy at -3.395 eV per atom. Its space group is F-43m (216). As for the energy of formation: -0.189 eV per atom.

(9)
Material: DyZrCuAg
Method: DFT, PBE
State: relaxed

Cell lengths 4.903, 4.903, 4.903 Å; angles 60.00, 60.00, 60.00 degrees
Sites, in units of the cell vectors:
Cu 0.750 0.750 0.750
Zr 0.500 0.500 0.500
Ag 0.250 0.250 0.250
Dy 0.000 0.000 0.000

Results
The calculation puts the raw total energy at -5.097 eV per atom. Its space group is F-43m (216). As for the energy of formation: -0.072 eV per atom.

(10)
Material: Er2Cu15Ag2
Method: DFT, PBE
State: relaxed

Cell lengths 6.531, 6.531, 6.531 Å; angles 83.18, 83.18, 83.18 degrees
Sites, in units of the cell vectors:
Er 0.348 0.348 0.348
Er 0.652 0.652 0.652
Cu 0.500 0.000 0.000
Cu 0.000 0.000 0.500
Cu 0.000 0.500 0.000
Cu 0.000 0.697 0.303
Cu 0.697 0.303 0.000
Cu 0.303 0.000 0.697
Cu 0.303 0.697 0.000
Cu 0.697 0.000 0.303
Cu 0.000 0.303 0.697
Cu 0.161 0.651 0.651
Cu 0.651 0.651 0.161
Cu 0.651 0.161 0.651
Cu 0.839 0.349 0.349
Cu 0.349 0.349 0.839
Cu 0.349 0.839 0.349
Ag 0.105 0.105 0.105
Ag 0.895 0.895 0.895

Results
The calculation puts the raw total energy at -4.116 eV per atom. Its space group is R-3m (166). As for the energy of formation: -0.102 eV per atom.

(11)
Material: Er8CuAg2
Method: DFT, PBE
State: relaxed

Cell lengths 5.139, 6.765, 9.083 Å; angles 106.01, 106.43, 90.00 degrees
Sites, in units of the cell vectors:
Er 0.409 0.553 0.817
Er 0.662 0.972 0.324
Er 0.800 0.688 0.601
Er 0.973 0.217 0.945
Er 0.200 0.312 0.399
Er 0.338 0.028 0.676
Er 0.591 0.447 0.183
Er 0.027 0.783 0.055
Cu 0.500 0.000 0.000
Ag 0.815 0.277 0.630
Ag 0.185 0.723 0.370

Results
The calculation puts the raw total energy at -4.334 eV per atom. Its space group is C2/m (12). As for the energy of formation: -0.125 eV per atom.

(12)
Material: Er4Cu2Ag
Method: DFT, PBE
State: relaxed

Cell lengths 4.910, 4.910, 8.422 Å; angles 73.05, 73.05, 60.00 degrees
Sites, in units of the cell vectors:
Ag 0.000 0.000 0.000
Cu 0.749 0.749 0.752
Cu 0.251 0.251 0.248
Er 0.871 0.871 0.386
Er 0.129 0.129 0.614
Er 0.620 0.620 0.140
Er 0.380 0.380 0.860

Results
The offset from the most stable computed form comes out at 13 meV per atom. The calculation puts the raw total energy at -4.333 eV per atom. Its space group is R-3m (166). As for the energy of formation: -0.148 eV per atom.